Arrangement i

Computed, not measured: Hf2TiNb after structural relaxation at the GGA-PBE level of DFT.

abc: 8.097 4.759 5.018
angles: 90.00 123.04 90.00
Space group Cm (No. 8)
Asymmetric unit:
Hf (0.000, 0.000, 0.000)
Hf (0.232, 0.000, 0.689)
Ti (0.259, 0.500, 0.279)
Nb (0.473, 0.000, 0.412)

Output
Its calculated volume is 162.1 Å³/cell. Its crystal system is monoclinic. The spin magnetization is 0.0 μB/f.u.



Arrangement ii

Computed, not measured: Hf2TiNb after structural relaxation at the GGA-PBE level of DFT.

abc: 4.370 4.370 4.210
angles: 90.00 90.00 90.00
Space group P4/mmm (No. 123)
Asymmetric unit:
Hf (0.000, 0.500, 0.000)
Ti (0.000, 0.000, 0.500)
Nb (0.500, 0.500, 0.500)

Output
Its calculated volume is 80.4 Å³/cell. Its crystal system is tetragonal. The spin magnetization is 0.0 μB/f.u.



arrangement i is favored, and the nearest alternative lies 7 meV per atom above it.



Arrangement i

Computed, not measured: HfTi3Nb2 after structural relaxation at the GGA-PBE level of DFT.

abc: 9.342 8.479 5.886
angles: 90.00 90.00 90.00
Space group Cmcm (No. 63)
Asymmetric unit:
Hf (0.000, 0.104, 0.250)
Ti (0.000, 0.454, 0.250)
Ti (0.160, 0.250, 0.750)
Nb (0.249, 0.500, 0.000)

Output
Its calculated volume is 466.3 Å³/cell. Its crystal system is orthorhombic. The spin magnetization is 0.0 μB/f.u.



Arrangement ii

Computed, not measured: HfTi3Nb2 after structural relaxation at the GGA-PBE level of DFT.

abc: 9.894 4.660 9.530
angles: 90.00 90.39 90.00
Space group C2/m (No. 12)
Asymmetric unit:
Hf (0.088, 0.000, 0.371)
Ti (0.078, 0.000, 0.881)
Ti (0.098, 0.500, 0.626)
Ti (0.248, 0.000, 0.112)
Nb (0.086, 0.500, 0.127)
Nb (0.232, 0.000, 0.640)

Output
Its calculated volume is 439.3 Å³/cell. Its crystal system is monoclinic. The spin magnetization is 0.0 μB/f.u.



arrangement ii is favored, and the nearest alternative lies 229 meV per atom above it.



Arrangement i

Computed, not measured: HfTi4Nb after structural relaxation at the GGA-PBE level of DFT.

abc: 4.761 16.238 5.763
angles: 90.00 90.00 90.00
Space group Cmcm (No. 63)
Asymmetric unit:
Hf (0.000, 0.130, 0.250)
Ti (0.000, 0.059, 0.750)
Ti (0.000, 0.342, 0.029)
Ti (0.000, 0.500, 0.000)
Nb (0.000, 0.217, 0.750)

Output
Its calculated volume is 445.5 Å³/cell. Its crystal system is orthorhombic. The spin magnetization is 1.2 μB/f.u.



Arrangement ii

Computed, not measured: HfTi4Nb after structural relaxation at the GGA-PBE level of DFT.

abc: 3.277 7.560 9.237
angles: 72.84 89.94 89.96
Space group P-1 (No. 2)
Asymmetric unit:
Hf (0.250, 0.183, 0.444)
Ti (0.250, 0.457, 0.626)
Ti (0.250, 0.511, 0.129)
Ti (0.250, 0.803, 0.831)
Ti (0.250, 0.864, 0.280)
Nb (0.250, 0.167, 0.946)

Output
Its calculated volume is 218.6 Å³/cell. Its crystal system is triclinic. The spin magnetization is 0.0 μB/f.u.



arrangement ii is favored, and the nearest alternative lies 129 meV per atom above it.



Arrangement i

Computed, not measured: HfTi3Nb after structural relaxation at the GGA-PBE level of DFT.

abc: 4.742 4.742 4.742
angles: 90.00 90.00 90.00
Space group Pm-3m (No. 221)
Asymmetric unit:
Hf (0.000, 0.000, 0.000)
Ti (0.000, 0.500, 0.500)
Nb (0.500, 0.500, 0.500)

Output
Its calculated volume is 106.6 Å³/cell. Its crystal system is cubic. The spin magnetization is 0.0 μB/f.u.



Arrangement ii

Computed, not measured: HfTi3Nb after structural relaxation at the GGA-PBE level of DFT.

abc: 5.708 12.622 5.282
angles: 90.00 90.00 90.00
Space group Cmcm (No. 63)
Asymmetric unit:
Hf (0.000, 0.085, 0.250)
Ti (0.000, 0.315, 0.750)
Ti (0.245, 0.344, 0.250)
Nb (0.000, 0.500, 0.000)

Output
Its calculated volume is 380.5 Å³/cell. Its crystal system is orthorhombic. The spin magnetization is 0.0 μB/f.u.



Arrangement iii

Computed, not measured: HfTi3Nb after structural relaxation at the GGA-PBE level of DFT.

abc: 4.738 4.738 4.738
angles: 90.00 90.00 90.00
Space group Pm-3m (No. 221)
Asymmetric unit:
Hf (0.000, 0.000, 0.000)
Ti (0.000, 0.000, 0.500)
Nb (0.500, 0.500, 0.500)

Output
Its calculated volume is 106.4 Å³/cell. Its crystal system is cubic. The spin magnetization is 0.0 μB/f.u.



Arrangement iv

Computed, not measured: HfTi3Nb after structural relaxation at the GGA-PBE level of DFT.

abc: 2.956 5.642 11.550
angles: 82.22 85.54 75.83
Space group P-1 (No. 2)
Asymmetric unit:
Hf (0.064, 0.015, 0.307)
Ti (0.180, 0.152, 0.912)
Ti (0.238, 0.456, 0.705)
Ti (0.356, 0.273, 0.490)
Nb (0.400, 0.355, 0.103)

Output
Its calculated volume is 184.8 Å³/cell. Its crystal system is triclinic. The spin magnetization is 0.0 μB/f.u.



arrangement iv is favored, and the nearest alternative lies 190 meV per atom above it.



Arrangement i

Computed, not measured: HfZrTiNb after structural relaxation at the GGA-PBE level of DFT.

abc: 6.862 6.862 6.862
angles: 90.00 90.00 90.00
Space group F-43m (No. 216)
Asymmetric unit:
Hf (0.000, 0.000, 0.000)
Zr (0.000, 0.000, 0.500)
Ti (0.250, 0.250, 0.750)
Nb (0.250, 0.250, 0.250)

Output
Its calculated volume is 323.1 Å³/cell. Its crystal system is cubic. The spin magnetization is 1.3 μB/f.u.



Arrangement ii

Computed, not measured: HfZrTiNb after structural relaxation at the GGA-PBE level of DFT.

abc: 3.383 3.383 7.031
angles: 90.00 90.00 90.00
Space group P4mm (No. 99)
Asymmetric unit:
Hf (0.000, 0.000, 0.000)
Zr (0.500, 0.500, 0.710)
Ti (0.500, 0.500, 0.259)
Nb (0.000, 0.000, 0.454)

Output
Its calculated volume is 80.5 Å³/cell. Its crystal system is tetragonal. The spin magnetization is 0.0 μB/f.u.



arrangement ii is favored, and the nearest alternative lies 38 meV per atom above it.



Arrangement i

Computed, not measured: HfNb3Tl after structural relaxation at the GGA-PBE level of DFT.

abc: 4.956 4.956 4.956
angles: 90.00 90.00 90.00
Space group Pm-3m (No. 221)
Asymmetric unit:
Hf (0.000, 0.000, 0.000)
Nb (0.000, 0.000, 0.500)
Tl (0.500, 0.500, 0.500)

Output
Its calculated volume is 121.7 Å³/cell. Its crystal system is cubic. The spin magnetization is 0.0 μB/f.u.



Arrangement ii

Computed, not measured: HfNb3Tl after structural relaxation at the GGA-PBE level of DFT.

abc: 5.072 5.072 5.072
angles: 90.00 90.00 90.00
Space group Pm-3m (No. 221)
Asymmetric unit:
Hf (0.000, 0.000, 0.000)
Nb (0.000, 0.500, 0.500)
Tl (0.500, 0.500, 0.500)

Output
Its calculated volume is 130.5 Å³/cell. Its crystal system is cubic. The spin magnetization is 0.0 μB/f.u.



arrangement i is favored, and the nearest alternative lies 405 meV per atom above it.



Arrangement i

Computed, not measured: HfNbTl2 after structural relaxation at the GGA-PBE level of DFT.

abc: 10.214 3.198 5.486
angles: 90.00 100.72 90.00
Space group C2/m (No. 12)
Asymmetric unit:
Hf (0.000, 0.000, 0.000)
Nb (0.000, 0.500, 0.500)
Tl (0.247, 0.000, 0.744)

Output
Its calculated volume is 176.1 Å³/cell. Its crystal system is monoclinic. The spin magnetization is 0.0 μB/f.u.



Arrangement ii

Computed, not measured: HfNbTl2 after structural relaxation at the GGA-PBE level of DFT.

abc: 7.005 7.005 7.005
angles: 90.00 90.00 90.00
Space group Fm-3m (No. 225)
Asymmetric unit:
Hf (0.000, 0.000, 0.000)
Nb (0.000, 0.000, 0.500)
Tl (0.250, 0.250, 0.250)

Output
Its calculated volume is 343.7 Å³/cell. Its crystal system is cubic. The spin magnetization is 0.0 μB/f.u.



Arrangement iii

Computed, not measured: HfNbTl2 after structural relaxation at the GGA-PBE level of DFT.

abc: 3.211 10.083 5.489
angles: 90.00 90.00 90.00
Space group Imm2 (No. 44)
Asymmetric unit:
Hf (0.000, 0.000, 0.000)
Nb (0.000, 0.500, 0.033)
Tl (0.000, 0.242, 0.361)

Output
Its calculated volume is 177.7 Å³/cell. Its crystal system is orthorhombic. The spin magnetization is 0.0 μB/f.u.



arrangement iii is favored, and the nearest alternative lies 17 meV per atom above it.



Arrangement i

Computed, not measured: HfNbTl2 after structural relaxation at the GGA-PBE level of DFT.

abc: 10.866 3.560 10.090
angles: 90.00 110.91 90.00
Space group C2/m (No. 12)
Asymmetric unit:
Hf (0.026, 0.000, 0.261)
Nb (0.249, 0.000, 0.600)
Tl (0.000, 0.500, 0.000)
Tl (0.000, 0.500, 0.500)
Tl (0.226, 0.500, 0.839)

Output
Its calculated volume is 364.6 Å³/cell. Its crystal system is monoclinic. The spin magnetization is 0.0 μB/f.u.



Arrangement ii

Computed, not measured: HfNbTl2 after structural relaxation at the GGA-PBE level of DFT.

abc: 5.978 6.038 6.316
angles: 105.32 105.07 116.63
Space group P1 (No. 1)
Asymmetric unit:
Hf (0.000, 0.000, 0.000)
Hf (0.121, 0.598, 0.683)
Nb (0.578, 0.077, 0.697)
Nb (0.579, 0.067, 0.137)
Tl (0.107, 0.599, 0.186)
Tl (0.516, 0.502, 0.014)
Tl (0.531, 0.480, 0.511)
Tl (0.989, 0.015, 0.514)

Output
Its calculated volume is 176.6 Å³/cell. Its crystal system is triclinic. The spin magnetization is 0.0 μB/f.u.



Arrangement iii

Computed, not measured: HfNbTl2 after structural relaxation at the GGA-PBE level of DFT.

abc: 5.565 5.948 6.145
angles: 101.35 90.50 117.40
Space group P1 (No. 1)
Asymmetric unit:
Hf (0.000, 0.000, 0.000)
Hf (0.497, 0.433, 0.647)
Nb (0.464, 0.942, 0.749)
Nb (0.542, 0.510, 0.115)
Tl (0.010, 0.472, 0.874)
Tl (0.074, 0.485, 0.371)
Tl (0.501, 0.023, 0.246)
Tl (0.936, 0.924, 0.503)

Output
Its calculated volume is 175.9 Å³/cell. Its crystal system is triclinic. The spin magnetization is 0.0 μB/f.u.



Arrangement iv

Computed, not measured: HfNbTl2 after structural relaxation at the GGA-PBE level of DFT.

abc: 7.861 7.861 6.054
angles: 90.00 90.00 90.00
Space group I-42d (No. 122)
Asymmetric unit:
Hf (0.000, 0.000, 0.000)
Nb (0.000, 0.000, 0.500)
Tl (0.244, 0.750, 0.625)

Output
Its calculated volume is 374.1 Å³/cell. Its crystal system is tetragonal. The spin magnetization is 0.0 μB/f.u.



arrangement i is favored, and the nearest alternative lies 40 meV per atom above it.